DFT (GGA-PBE) results for a geometry-optimized PuZrPaIn structure.

Output
Total magnetization: 25.0 Bohr magnetons per cell
VASP energy: -8.752 eV per atom
ΔH_f (0 K): 27 meV per atom

The structure in CIF format:
```
data_PuZrPaIn
_chemical_formula_sum 'Pu4 Zr4 Pa4 In4'
_cell_length_a 7.2414
_cell_length_b 7.2414
_cell_length_c 7.2414
_cell_angle_alpha 90.00
_cell_angle_beta 90.00
_cell_angle_gamma 90.00
_space_group_name_H-M_alt 'F -4 3 m'
_space_group_IT_number 216
_space_group_name_Hall 'F -4 2 3'
loop_
_atom_site_label
_atom_site_type_symbol
_atom_site_fract_x
_atom_site_fract_y
_atom_site_fract_z
_atom_site_occupancy
Pu1 Pu 0.0000 0.0000 0.0000 1
Zr1 Zr 0.0000 0.0000 0.5000 1
Pa1 Pa 0.2500 0.2500 0.2500 1
In1 In 0.2500 0.2500 0.7500 1
```